YBi2Ru2 after structural relaxation. Source: Alexandria, functional PBE.

## Properties
- energy above the lowest structure with this stoichiometry (meV/atom) = 0.0
- D(E_F) (states/eV per atom) = 0.578
- energy relative to the elements (meV/atom) = 72
- crystal system = tetragonal

a b c (Å): 4.5216 4.5216 11.4645
angles (deg): 90.00 90.00 90.00
Closest atoms and distances in Å follow each position.
Space group I4/mmm (No. 139)
One atom of each set of equivalent atoms:
Y (0.0000, 0.0000, 0.0000) (multiplicity 2)  8 Bi 3.53, 8 Ru 3.65
Bi (0.0000, 0.0000, 0.3700) (multiplicity 4)  4 Ru 2.65
Ru (0.0000, 0.5000, 0.2500) (multiplicity 4)  4 Bi 2.65

=====

Y2BiRu after structural relaxation. Source: Alexandria, functional PBE.

## Properties
- D(E_F) (states/eV per atom) = 0.956
- energy relative to the elements (meV/atom) = -164
- crystal system = tetragonal

a b c (Å): 8.0288 8.0288 6.5284
angles (deg): 90.00 90.00 90.00
Closest atoms and distances in Å follow each position.
Space group I-42d (No. 122)
One atom of each set of equivalent atoms:
Y (0.1919, 0.2500, 0.1250) (multiplicity 8)  2 Ru 2.66
Bi (0.0000, 0.0000, 0.5000) (multiplicity 4)  2 Ru 3.26, 8 Y 3.29-3.52
Ru (0.0000, 0.0000, 0.0000) (multiplicity 4)  4 Y 2.66

=====

YBi3Ru after structural relaxation. Source: Alexandria, functional PBE.

## Properties
- energy above the lowest structure with this stoichiometry (meV/atom) = 943.2
- D(E_F) (states/eV per atom) = 1.703
- energy relative to the elements (meV/atom) = 1224
- crystal system = cubic

a b c (Å): 5.8036 5.8036 5.8036
angles (deg): 90.00 90.00 90.00
Closest atoms and distances in Å follow each position.
Space group Pm-3m (No. 221)
One atom of each set of equivalent atoms:
Y (0.0000, 0.0000, 0.0000) (multiplicity 1)  6 Bi 2.90
Bi (0.0000, 0.0000, 0.5000) (multiplicity 3)  2 Y 2.90
Ru (0.5000, 0.5000, 0.5000) (multiplicity 1)  12 Bi 4.10

=====

ZnBi3Ru after structural relaxation. Source: Alexandria, functional PBE.

## Properties
- energy above the lowest structure with this stoichiometry (meV/atom) = 0.0
- D(E_F) (states/eV per atom) = 0.684
- energy relative to the elements (meV/atom) = 529
- crystal system = cubic

a b c (Å): 5.3082 5.3082 5.3082
angles (deg): 90.00 90.00 90.00
Closest atoms and distances in Å follow each position.
Space group Pm-3m (No. 221)
One atom of each set of equivalent atoms:
Zn (0.0000, 0.0000, 0.0000) (multiplicity 1)  12 Bi 3.75
Bi (0.0000, 0.5000, 0.5000) (multiplicity 3)  2 Ru 2.65
Ru (0.5000, 0.5000, 0.5000) (multiplicity 1)  6 Bi 2.65

=====

ZnBi2Ru after structural relaxation. Source: Alexandria, functional PBE.

## Properties
- D(E_F) (states/eV per atom) = 0.588
- energy relative to the elements (meV/atom) = 547
- crystal system = tetragonal

a b c (Å): 6.2645 6.2645 12.5671
angles (deg): 90.00 90.00 90.00
Closest atoms and distances in Å follow each position.
Space group I-42d (No. 122)
One atom of each set of equivalent atoms:
Zn (0.0000, 0.0000, 0.0000) (multiplicity 4)  4 Bi 2.81
Bi (0.2237, 0.2500, 0.6250) (multiplicity 8)  2 Ru 2.62, 2 Zn 2.81
Ru (0.0000, 0.0000, 0.5000) (multiplicity 4)  4 Bi 2.62

=====

ZnBiRu3 after structural relaxation. Source: Alexandria, functional PBE.

## Properties
- energy above the lowest structure with this stoichiometry (meV/atom) = 0.0
- D(E_F) (states/eV per atom) = 1.008
- energy relative to the elements (meV/atom) = 1253
- crystal system = cubic

a b c (Å): 4.5558 4.5558 4.5558
angles (deg): 90.00 90.00 90.00
Closest atoms and distances in Å follow each position.
Space group Pm-3m (No. 221)
One atom of each set of equivalent atoms:
Zn (0.0000, 0.0000, 0.0000) (multiplicity 1)  6 Ru 2.28
Bi (0.5000, 0.5000, 0.5000) (multiplicity 1)  12 Ru 3.22
Ru (0.0000, 0.0000, 0.5000) (multiplicity 3)  2 Zn 2.28

=====

ZnBi3Ru after structural relaxation. Source: Alexandria, functional PBE.

## Properties
- energy above the lowest structure with this stoichiometry (meV/atom) = 633.0
- D(E_F) (states/eV per atom) = 1.658
- energy relative to the elements (meV/atom) = 1162
- crystal system = cubic

a b c (Å): 5.2692 5.2692 5.2692
angles (deg): 90.00 90.00 90.00
Closest atoms and distances in Å follow each position.
Space group Pm-3m (No. 221)
One atom of each set of equivalent atoms:
Zn (0.0000, 0.0000, 0.0000) (multiplicity 1)  6 Bi 2.63
Bi (0.0000, 0.0000, 0.5000) (multiplicity 3)  2 Zn 2.63
Ru (0.5000, 0.5000, 0.5000) (multiplicity 1)  12 Bi 3.73

=====

ZnBiRu3 after structural relaxation. Source: Alexandria, functional PBE.

## Properties
- energy above the lowest structure with this stoichiometry (meV/atom) = 711.7
- D(E_F) (states/eV per atom) = 1.066
- energy relative to the elements (meV/atom) = 1965
- crystal system = cubic

a b c (Å): 4.9644 4.9644 4.9644
angles (deg): 90.00 90.00 90.00
Closest atoms and distances in Å follow each position.
Space group Pm-3m (No. 221)
One atom of each set of equivalent atoms:
Zn (0.0000, 0.0000, 0.0000) (multiplicity 1)  12 Ru 3.51
Bi (0.5000, 0.5000, 0.5000) (multiplicity 1)  6 Ru 2.48
Ru (0.0000, 0.5000, 0.5000) (multiplicity 3)  2 Bi 2.48

=====

ZrBiRu2 after structural relaxation. Source: Alexandria, functional PBE.

## Properties
- D(E_F) (states/eV per atom) = 0.420
- energy relative to the elements (meV/atom) = -148
- crystal system = tetragonal

a b c (Å): 4.5121 4.5121 3.5633
angles (deg): 90.00 90.00 90.00
Closest atoms and distances in Å follow each position.
Space group P4/mmm (No. 123)
One atom of each set of equivalent atoms:
Zr (0.0000, 0.0000, 0.0000) (multiplicity 1)  8 Ru 2.87, 4 Bi 3.19
Bi (0.5000, 0.5000, 0.0000) (multiplicity 1)  8 Ru 2.87, 4 Zr 3.19
Ru (0.0000, 0.5000, 0.5000) (multiplicity 2)  4 Zr 2.87, 4 Bi 2.87, 4 Ru 3.19

=====

ZrBi2Ru after structural relaxation. Source: Alexandria, functional PBE.

## Properties
- energy above the lowest structure with this stoichiometry (meV/atom) = 0.0
- D(E_F) (states/eV per atom) = 1.313
- energy relative to the elements (meV/atom) = 196
- crystal system = cubic

a b c (Å): 7.0740 7.0740 7.0740
angles (deg): 90.00 90.00 90.00
Closest atoms and distances in Å follow each position.
Space group Fm-3m (No. 225)
One atom of each set of equivalent atoms:
Zr (0.0000, 0.0000, 0.0000) (multiplicity 4)  8 Bi 3.06
Bi (0.2500, 0.2500, 0.2500) (multiplicity 8)  4 Zr 3.06, 4 Ru 3.06
Ru (0.0000, 0.0000, 0.5000) (multiplicity 4)  8 Bi 3.06

=====

ZrBiRu3 after structural relaxation. Source: Alexandria, functional PBE.

## Properties
- energy above the lowest structure with this stoichiometry (meV/atom) = 170.2
- D(E_F) (states/eV per atom) = 0.337
- energy relative to the elements (meV/atom) = 1527
- crystal system = cubic

a b c (Å): 4.8553 4.8553 4.8553
angles (deg): 90.00 90.00 90.00
Closest atoms and distances in Å follow each position.
Space group Pm-3m (No. 221)
One atom of each set of equivalent atoms:
Zr (0.0000, 0.0000, 0.0000) (multiplicity 1)  12 Ru 3.43
Bi (0.5000, 0.5000, 0.5000) (multiplicity 1)  6 Ru 2.43
Ru (0.0000, 0.5000, 0.5000) (multiplicity 3)  2 Bi 2.43

=====

Zr12Bi6Ru after structural relaxation. Source: Alexandria, functional PBE.

## Properties
- D(E_F) (states/eV per atom) = 1.105
- energy relative to the elements (meV/atom) = -22
- crystal system = trigonal

a b c (Å): 12.6069 12.6069 10.8974
angles (deg): 90.00 90.00 120.00
Closest atoms and distances in Å follow each position.
Space group R-3 (No. 148, hexagonal axes)
One atom of each set of equivalent atoms:
Zr (0.0253, 0.1596, 0.3747) (multiplicity 18)  4 Bi 2.96-3.22, 5 Zr 3.12-3.31
Zr (0.0743, 0.1932, 0.8723) (multiplicity 18)  1 Ru 2.54
Bi (0.0328, 0.2941, 0.6287) (multiplicity 18)  7 Zr 2.95-3.22
Ru (0.0000, 0.0000, 0.0000) (multiplicity 3)  6 Zr 2.54

=====

Repeat the second record exactly.
Y2BiRu after structural relaxation. Source: Alexandria, functional PBE.

## Properties
- D(E_F) (states/eV per atom) = 0.956
- energy relative to the elements (meV/atom) = -164
- crystal system = tetragonal

a b c (Å): 8.0288 8.0288 6.5284
angles (deg): 90.00 90.00 90.00
Closest atoms and distances in Å follow each position.
Space group I-42d (No. 122)
One atom of each set of equivalent atoms:
Y (0.1919, 0.2500, 0.1250) (multiplicity 8)  2 Ru 2.66
Bi (0.0000, 0.0000, 0.5000) (multiplicity 4)  2 Ru 3.26, 8 Y 3.29-3.52
Ru (0.0000, 0.0000, 0.0000) (multiplicity 4)  4 Y 2.66